## AcInPdAu (PBE)

Data for AcInPdAu after structural relaxation.

```
AcInPdAu
1.0
4.785 0.000 0.000
-2.393 4.154 -0.003
0.000 -2.766 5.052
Au Ac In Pd
1 1 1 1
Direct
0.399 0.798 0.840
0.614 0.229 0.485
0.129 0.258 0.029
0.824 0.648 0.114
```

Summary:
* DOS at the Fermi energy: 2.24 states/eV per cell
* DFT formation energy: -0.704 eV per atom
* SG: Cm
* theoretical density: 10.674 g/cm3
* magnetic moment: 0.000 μB per formula unit

***

## AcIn2PdAu (PBE)

Data for AcIn2PdAu after structural relaxation.

```
AcIn2PdAu
1.0
-4.109 -2.969 0.346
0.423 0.005 5.064
-3.424 4.772 0.281
Au In Ac Pd
1 2 1 1
Direct
0.500 0.500 0.629
0.000 0.500 0.926
0.500 0.000 0.926
0.000 0.000 0.499
0.000 0.000 0.022
```

Summary:
* DOS at the Fermi energy: 3.54 states/eV per cell
* DFT formation energy: -0.368 eV per atom
* SG: P4mm
* theoretical density: 8.314 g/cm3
* magnetic moment: 0.000 μB per formula unit